Entry from Alexandria: a relaxed CsYS2Cl crystal (PBE).

**Energy above the lowest structure with this stoichiometry**: 1.8141 eV per atom
**SG**: No. 123
**Energy**: -3.23 eV/atom
**Density of states at the Fermi level**: 4.02 states/eV per cell
**Uncorrected formation energy**: 0.250 eV/atom

a = 5.566 Å, b = 5.566 Å, c = 5.732 Å
α = 90.00°, β = 90.00°, γ = 90.00°
Each line ends with the local moment (μB).
Sites, in units of the cell vectors:
Y1 0.500 0.500 0.500  -0.28
S1 0.000 0.500 0.000  0.20
S2 0.500 0.000 0.000  0.20
Cl1 0.000 0.000 0.500  0.00
Cs1 0.000 0.000 0.000  0.12